First-principles (PBE) data for a geometry-optimized ScMo2Se structure, as listed in Alexandria.

POSCAR file:
```
ScMo2Se
1.0
3.1465 0.0000 0.0000
0.0000 4.4957 0.0000
0.0000 0.0000 5.1001
Sc Mo Se
1 2 1
Direct
0.0000 0.0000 0.0000
0.5000 0.5000 0.2293
0.5000 0.5000 0.7707
0.0000 0.0000 0.5000
```

Properties
Formation energy without anion corrections (meV per atom): 182.5
Energy above the lowest structure with this stoichiometry (eV/atom): 0.263

***

First-principles (PBE) data for a geometry-optimized Ho2InGe2 structure, as listed in Alexandria.

POSCAR file:
```
Ho2InGe2
1.0
7.4104 0.0000 0.0000
0.0000 7.4104 0.0000
0.0000 0.0000 4.1531
Ho In Ge
4 2 4
Direct
0.1782 0.3218 0.0000
0.3218 0.8218 0.0000
0.6782 0.1782 0.0000
0.8218 0.6782 0.0000
0.0000 0.0000 0.5000
0.5000 0.5000 0.5000
0.1214 0.6214 0.5000
0.3786 0.1214 0.5000
0.6214 0.8786 0.5000
0.8786 0.3786 0.5000
```

Properties
ΔH_f (0 K) (meV/atom): -688

***

First-principles (PBE) data for a geometry-optimized Mg2AgSn structure, as listed in Alexandria.

POSCAR file:
```
Mg2AgSn
1.0
5.8073 0.0000 0.0000
0.0000 4.5582 0.0000
-2.6272 0.0000 6.5811
Mg Ag Sn
4 2 2
Direct
0.1416 0.2500 0.4188
0.2519 0.2500 0.9037
0.7481 0.7500 0.0963
0.8584 0.7500 0.5812
0.3731 0.7500 0.6768
0.6269 0.2500 0.3232
0.2930 0.7500 0.2088
0.7070 0.2500 0.7912
```

Properties
ΔH_f (0 K) (meV/atom): -151

***

First-principles (PBE) data for a geometry-optimized TcAsNF2 structure, as listed in Alexandria.

POSCAR file:
```
TcAsNF2
1.0
4.2245 0.0000 0.0000
0.0000 4.2245 0.0000
0.0000 0.0000 3.8180
Tc As N F
1 1 1 2
Direct
0.0000 0.0000 0.0000
0.5000 0.5000 0.5000
0.0000 0.0000 0.5000
0.0000 0.5000 0.0000
0.5000 0.0000 0.0000
```

Properties
Formation energy without anion corrections (meV per atom): -148.7
Energy above the lowest structure with this stoichiometry (eV/atom): 0.000

***

First-principles (PBE) data for a geometry-optimized RbHfMnB2 structure, as listed in Alexandria.

POSCAR file:
```
RbHfMnB2
1.0
4.4251 0.0000 0.0000
0.0000 4.4251 0.0000
0.0000 0.0000 4.3978
Rb Hf Mn B
1 1 1 2
Direct
0.0000 0.0000 0.0000
0.5000 0.5000 0.5000
0.0000 0.0000 0.5000
0.0000 0.5000 0.0000
0.5000 0.0000 0.0000
```

Properties
ΔH_f (0 K) (meV/atom): 3051

***

First-principles (PBE) data for a geometry-optimized TcAsPb3 structure, as listed in Alexandria.

POSCAR file:
```
TcAsPb3
1.0
5.3112 0.0000 0.0000
0.0000 5.3112 0.0000
0.0000 0.0000 5.3112
Tc As Pb
1 1 3
Direct
0.0000 0.0000 0.0000
0.5000 0.5000 0.5000
0.0000 0.0000 0.5000
0.0000 0.5000 0.0000
0.5000 0.0000 0.0000
```

Properties
Energy above the lowest structure with this stoichiometry (eV/atom): 0.000
ΔH_f (0 K) (meV/atom): 557

***

First-principles (PBE) data for a geometry-optimized LiCe2Ni4P3 structure, as listed in Alexandria.

POSCAR file:
```
LiCe2Ni4P3
1.0
3.9463 0.0000 0.0000
0.0000 3.9463 0.0000
0.0000 0.0000 9.4038
Li Ce Ni P
1 2 4 3
Direct
0.0000 0.0000 0.0000
0.0000 0.5000 0.7463
0.5000 0.0000 0.2537
0.0000 0.0000 0.5000
0.0000 0.5000 0.1295
0.5000 0.0000 0.8705
0.5000 0.5000 0.5000
0.0000 0.5000 0.3693
0.5000 0.0000 0.6307
0.5000 0.5000 0.0000
```

Properties
ΔH_f (0 K) (meV/atom): -926

***

First-principles (PBE) data for a geometry-optimized Tb4Co2Br5 structure, as listed in Alexandria.

POSCAR file:
```
Tb4Co2Br5
1.0
11.1213 -1.9675 0.0000
11.1213 1.9675 0.0000
-0.2915 0.0000 8.0657
Tb Co Br
4 2 5
Direct
0.0254 0.0254 0.2089
0.3428 0.3428 0.9420
0.6572 0.6572 0.0580
0.9746 0.9746 0.7911
0.4510 0.4510 0.0067
0.5490 0.5490 0.9933
0.1546 0.1546 0.3237
0.2025 0.2025 0.8317
0.5000 0.5000 0.5000
0.7975 0.7975 0.1683
0.8454 0.8454 0.6763
```

Properties
Formation energy without anion corrections (meV per atom): -1038.2
Energy above the lowest structure with this stoichiometry (eV/atom): 0.049

***

First-principles (PBE) data for a geometry-optimized CoNi3Se6 structure, as listed in Alexandria.

POSCAR file:
```
CoNi3Se6
1.0
3.0782 1.7772 5.2980
-3.0782 1.7772 5.2980
0.0000 -3.5544 5.2980
Co Ni Se
1 3 6
Direct
0.0000 0.0000 0.0000
0.3036 0.3036 0.3036
0.5006 0.5006 0.5006
0.8017 0.8017 0.8017
0.0937 0.3960 0.7116
0.2047 0.9030 0.5979
0.3960 0.7116 0.0937
0.5979 0.2047 0.9030
0.7116 0.0937 0.3960
0.9030 0.5979 0.2047
```

Properties
Formation energy without anion corrections (meV per atom): -256.7
Energy above the lowest structure with this stoichiometry (eV/atom): 0.000

***

First-principles (PBE) data for a geometry-optimized Li2InRuC structure, as listed in Alexandria.

POSCAR file:
```
Li2InRuC
1.0
4.1470 0.0000 0.0000
0.0000 4.1470 0.0000
0.0000 0.0000 3.9393
Li In Ru C
2 1 1 1
Direct
0.0000 0.5000 0.0000
0.5000 0.0000 0.0000
0.0000 0.0000 0.5000
0.5000 0.5000 0.5000
0.5000 0.5000 0.0000
```

Properties
ΔH_f (0 K) (meV/atom): 66

***

First-principles (PBE) data for a geometry-optimized SrDy2TiN4 structure, as listed in Alexandria.

POSCAR file:
```
SrDy2TiN4
1.0
1.7396 -5.9998 0.0000
1.7396 5.9998 0.0000
0.0000 0.0000 11.9201
Sr Dy Ti N
2 4 2 8
Direct
0.1015 0.8985 0.7500
0.8985 0.1015 0.2500
0.3707 0.6293 0.5381
0.3707 0.6293 0.9619
0.6293 0.3707 0.0381
0.6293 0.3707 0.4619
0.1678 0.8322 0.2500
0.8322 0.1678 0.7500
0.0000 0.0000 0.0000
0.0000 0.0000 0.5000
0.2580 0.7420 0.1209
0.2580 0.7420 0.3791
0.4155 0.5845 0.7500
0.5845 0.4155 0.2500
0.7420 0.2580 0.6209
0.7420 0.2580 0.8791
```

Properties
Formation energy without anion corrections (meV per atom): -1464.6

***

First-principles (PBE) data for a geometry-optimized GeTe3Au structure, as listed in Alexandria.

POSCAR file:
```
GeTe3Au
1.0
5.3775 0.0000 0.0000
0.0000 5.3775 0.0000
0.0000 0.0000 5.3775
Ge Te Au
1 3 1
Direct
0.0000 0.0000 0.0000
0.0000 0.0000 0.5000
0.0000 0.5000 0.0000
0.5000 0.0000 0.0000
0.5000 0.5000 0.5000
```

Properties
Formation energy without anion corrections (meV per atom): 702.7
Energy above the lowest structure with this stoichiometry (eV/atom): 0.731

***

First-principles (PBE) data for a geometry-optimized TiMnCrB structure, as listed in Alexandria.

POSCAR file:
```
TiMnCrB
1.0
2.8138 0.0000 0.0000
-0.3504 3.7692 0.0000
-0.2046 -1.2140 4.2885
Ti Mn Cr B
1 1 1 1
Direct
0.0000 0.0000 0.0000
0.8149 0.2514 0.5635
0.4337 0.6637 0.4065
0.4151 0.5021 0.8968
```

Properties
Energy above the lowest structure with this stoichiometry (eV/atom): 0.013
ΔH_f (0 K) (meV/atom): -104

***

First-principles (PBE) data for a geometry-optimized LaNd6Er6 structure, as listed in Alexandria.

POSCAR file:
```
LaNd6Er6
1.0
6.7408 0.0000 0.0000
-3.3704 5.8377 0.0000
0.0000 0.0000 11.4826
La Nd Er
1 6 6
Direct
0.0000 0.0000 0.0000
0.0000 0.0000 0.3486
0.0000 0.0000 0.6514
0.3333 0.6667 0.0000
0.3333 0.6667 0.5000
0.6667 0.3333 0.0000
0.6667 0.3333 0.5000
0.0000 0.5000 0.2478
0.0000 0.5000 0.7522
0.5000 0.0000 0.2478
0.5000 0.0000 0.7522
0.5000 0.5000 0.2478
0.5000 0.5000 0.7522
```

Properties
ΔH_f (0 K) (meV/atom): 240

***

First-principles (PBE) data for a geometry-optimized CsMg2Pd2 structure, as listed in Alexandria.

POSCAR file:
```
CsMg2Pd2
1.0
8.4413 0.0000 0.0000
0.0000 8.4413 0.0000
0.0000 0.0000 3.1530
Cs Mg Pd
2 4 4
Direct
0.0000 0.0000 0.0000
0.5000 0.5000 0.0000
0.1303 0.3697 0.5000
0.3697 0.8697 0.5000
0.6303 0.1303 0.5000
0.8697 0.6303 0.5000
0.1468 0.6468 0.0000
0.3532 0.1468 0.0000
0.6468 0.8532 0.0000
0.8532 0.3532 0.0000
```

Properties
Energy above the lowest structure with this stoichiometry (eV/atom): 0.000
ΔH_f (0 K) (meV/atom): -208

***

First-principles (PBE) data for a geometry-optimized Li3La2Sn2 structure, as listed in Alexandria.

POSCAR file:
```
Li3La2Sn2
1.0
11.0052 0.0000 0.0000
0.0000 4.9705 0.0000
-1.5012 0.0000 6.6099
Li La Sn
6 4 4
Direct
0.0000 0.0000 0.0000
0.1112 0.0000 0.4297
0.3888 0.5000 0.5703
0.5000 0.5000 0.0000
0.6112 0.5000 0.4297
0.8888 0.0000 0.5703
0.1478 0.5000 0.7615
0.3522 0.0000 0.2385
0.6478 0.0000 0.7615
0.8522 0.5000 0.2385
0.1540 0.5000 0.2527
0.3460 0.0000 0.7473
0.6540 0.0000 0.2527
0.8460 0.5000 0.7473
```

Properties
ΔH_f (0 K) (meV/atom): -507

***

First-principles (PBE) data for a geometry-optimized MnPbCl structure, as listed in Alexandria.

POSCAR file:
```
MnPbCl
1.0
3.2443 0.0000 0.0000
0.0000 3.2443 0.0000
0.0000 0.0000 14.2962
Mn Pb Cl
2 2 2
Direct
0.0000 0.0000 0.0000
0.5000 0.5000 0.5000
0.0000 0.0000 0.6552
0.5000 0.5000 0.1552
0.0000 0.0000 0.4070
0.5000 0.5000 0.9070
```

Properties
Formation energy without anion corrections (meV per atom): -159.2
Energy above the lowest structure with this stoichiometry (eV/atom): 0.122

***

First-principles (PBE) data for a geometry-optimized Be2InCu structure, as listed in Alexandria.

POSCAR file:
```
Be2InCu
1.0
5.9806 0.0000 0.0000
0.0000 5.9806 0.0000
0.0000 0.0000 5.9806
Be In Cu
8 4 4
Direct
0.0000 0.0000 0.0000
0.0000 0.5000 0.5000
0.2500 0.2500 0.2500
0.2500 0.7500 0.7500
0.5000 0.0000 0.5000
0.5000 0.5000 0.0000
0.7500 0.2500 0.7500
0.7500 0.7500 0.2500
0.0000 0.0000 0.5000
0.0000 0.5000 0.0000
0.5000 0.0000 0.0000
0.5000 0.5000 0.5000
0.2500 0.2500 0.7500
0.2500 0.7500 0.2500
0.7500 0.2500 0.2500
0.7500 0.7500 0.7500
```

Properties
ΔH_f (0 K) (meV/atom): 466

***

First-principles (PBE) data for a geometry-optimized TiV2Cr3 structure, as listed in Alexandria.

POSCAR file:
```
TiV2Cr3
1.0
4.1998 0.0000 0.0000
0.0000 12.4775 0.0000
0.0000 0.0000 2.9505
Ti V Cr
2 4 6
Direct
0.0000 0.0000 0.0000
0.5000 0.5000 0.0000
0.0000 0.3327 0.0000
0.0000 0.6673 0.0000
0.5000 0.1673 0.0000
0.5000 0.8327 0.0000
0.0000 0.1726 0.5000
0.0000 0.5000 0.5000
0.0000 0.8274 0.5000
0.5000 0.0000 0.5000
0.5000 0.3274 0.5000
0.5000 0.6726 0.5000
```

Properties
ΔH_f (0 K) (meV/atom): -16

***

First-principles (PBE) data for a geometry-optimized La3Pm2Ho5 structure, as listed in Alexandria.

POSCAR file:
```
La3Pm2Ho5
1.0
5.3432 -8.4047 0.0000
5.3432 8.4047 0.0000
-5.3321 0.0000 7.5253
La Pm Ho
6 4 10
Direct
0.0216 0.2721 0.0479
0.2321 0.7679 0.7500
0.2721 0.0216 0.5479
0.7279 0.9784 0.4521
0.7679 0.2321 0.2500
0.9784 0.7279 0.9521
0.2350 0.4719 0.4602
0.4719 0.2350 0.9602
0.5281 0.7650 0.0398
0.7650 0.5281 0.5398
0.0261 0.9739 0.7500
0.1436 0.3691 0.7643
0.2754 0.7246 0.2500
0.3691 0.1436 0.2643
0.4699 0.5301 0.2500
0.5301 0.4699 0.7500
0.6309 0.8564 0.7357
0.7246 0.2754 0.7500
0.8564 0.6309 0.2357
0.9739 0.0261 0.2500
```

Properties
ΔH_f (0 K) (meV/atom): 175